The following is a DFT calculation (PBE) of Ta2MnB2 after structural relaxation.

Results
* energy of formation from the pure elements: -0.694 eV/atom
* total magnetic moment: 1.21 μB per cell
* density of states at the Fermi level: 4.59 states/eV per cell

```
Ta2MnB2
1.0
5.839 0.000 0.000
0.000 5.839 0.000
0.000 0.000 3.310
B Ta Mn
4 4 2
direct
0.887 0.613 0.000
0.113 0.387 0.000
0.613 0.113 0.000
0.387 0.887 0.000
0.680 0.820 0.500
0.180 0.680 0.500
0.320 0.180 0.500
0.820 0.320 0.500
0.500 0.500 0.000
0.000 0.000 0.000
```